LaTiSeO, optimized geometry, DFT GGA-PBE; uncorrected energy = -7.207 eV per atom; density of states at the Fermi level = 3.21 states/eV per cell; total magnetization = 0.84 μB/f.u.; symmetry = Cm; raw formation energy = -1.8904 eV per atom
1.0
-0.8352 -2.2963 -2.5017
1.5421 -2.7254 1.9868
-9.5550 0.2682 7.7845
Ti O La Se
2 2 2 2
Cartesian
-3.1462 -2.1353 -0.4870
-7.1527 -3.3639 4.3987
-5.8301 -2.0402 5.1879
-1.8236 -0.8115 0.3023
-5.3407 -0.4356 3.5479
0.2079 -1.9324 0.6491
-8.7841 -1.1106 5.2947
-3.2355 -2.6074 2.3958

***

PmDy6Tm4, optimized geometry, DFT GGA-PBE; uncorrected energy = -4.246 eV per atom; density of states at the Fermi level = 15.45 states/eV per cell; total magnetization = 0.00 μB/f.u.; symmetry = I-42m
1.0
6.5212 0.0000 0.0000
0.0000 6.5212 0.0000
-3.2606 -3.2606 8.5068
Pm Dy Tm
1 6 4
Cartesian
3.2606 3.2606 0.0000
-1.2201 -1.2201 5.5539
4.4807 2.0405 2.9529
1.2201 1.2201 5.5539
0.0000 3.2606 0.0000
2.0405 4.4807 2.9529
3.2606 0.0000 0.0000
2.0878 -2.0878 6.2643
1.1728 1.1728 2.2425
-2.0878 2.0878 6.2643
5.3484 5.3484 2.2425

***

AsPC2, optimized geometry, DFT GGA-PBE; uncorrected energy = -6.534 eV per atom; density of states at the Fermi level = 0.00 states/eV per cell; total magnetization = 0.00 μB/f.u.; symmetry = R3m
1.0
3.0058 0.0000 0.0000
-1.5029 2.6031 0.0000
0.0000 0.0000 21.6070
P C As
3 6 3
Cartesian
1.5029 0.8677 7.7198
0.0000 1.7354 14.9221
0.0000 0.0000 0.5174
1.5029 0.8677 14.4475
0.0000 1.7354 0.0428
0.0000 0.0000 2.3372
0.0000 0.0000 7.2452
1.5029 0.8677 9.5395
0.0000 1.7354 16.7419
0.0000 0.0000 17.7117
0.0000 1.7354 10.5093
1.5029 0.8677 3.3070

***

HfScAu, optimized geometry, DFT GGA-PBE; uncorrected energy = -6.906 eV per atom; density of states at the Fermi level = 5.82 states/eV per cell; total magnetization = 0.00 μB/f.u.; symmetry = P4/nmm
1.0
4.3376 0.0000 0.0000
0.0000 4.3376 0.0000
0.0000 0.0000 7.0214
Au Sc Hf
2 2 2
Cartesian
0.0000 2.1688 5.3638
2.1688 0.0000 1.6577
2.1688 0.0000 6.0148
0.0000 2.1688 1.0066
2.1688 2.1688 3.5107
0.0000 0.0000 3.5107

***

TlReBr2, optimized geometry, DFT GGA-PBE; uncorrected energy = -3.816 eV per atom; density of states at the Fermi level = 2.45 states/eV per cell; total magnetization = 2.54 μB/f.u.; symmetry = Pm; raw formation energy = 0.7241 eV per atom
1.0
-3.9095 1.8950 2.1845
-1.9551 -0.9643 -2.6624
-2.4510 -6.2697 1.0525
Tl Br Re
1 2 1
Cartesian
-5.0351 -4.3695 0.1919
-3.5518 -1.4884 0.3472
-1.9242 -1.0542 -2.5291
-1.9626 -3.0082 -0.9028

***

Nd8Cu2Tc, optimized geometry, DFT GGA-PBE; uncorrected energy = -5.158 eV per atom; density of states at the Fermi level = 12.07 states/eV per cell; total magnetization = 0.00 μB/f.u.; symmetry = C2/m
1.0
5.2136 0.0000 0.0000
0.0000 6.9803 0.1770
-2.6068 -2.7816 8.4869
Cu Nd Tc
2 8 1
Cartesian
0.0000 4.0339 3.2115
2.6068 0.1648 5.4524
2.6068 2.6521 1.6164
2.6068 -1.1709 8.0363
0.0000 5.3695 0.6276
0.0000 -1.7317 5.6470
2.6068 3.0183 5.2524
2.6068 5.9303 3.0169
0.0000 1.5465 7.0475
0.0000 1.1804 3.4115
2.6068 0.0000 0.0000

***

BaNi2Sb, optimized geometry, DFT GGA-PBE; uncorrected energy = -4.346 eV per atom; density of states at the Fermi level = 3.13 states/eV per cell; total magnetization = 0.00 μB/f.u.; symmetry = P4mm; raw formation energy = 0.0557 eV per atom
1.0
3.4199 0.0000 0.0000
0.0000 3.4151 0.0000
0.0000 0.0000 7.3551
Ni Sb Ba
2 1 1
Cartesian
1.7099 1.7076 1.6970
0.0000 0.0000 0.5436
0.0000 0.0000 2.9845
1.7099 1.7076 5.8076

***

Be2FeAg, optimized geometry, DFT GGA-PBE; uncorrected energy = -4.443 eV per atom; density of states at the Fermi level = 1.87 states/eV per cell; total magnetization = 1.57 μB/f.u.; symmetry = C2/m
1.0
-2.4743 -2.0918 -2.2909
-2.3629 -3.1876 0.0382
-4.1405 2.2653 1.2638
Be Ag Fe
2 1 1
Cartesian
-3.9173 2.1063 1.1784
-4.7120 -1.3481 -0.4090
-2.2444 -0.7535 -0.2472
-6.7333 -2.2606 -0.7417